LiMn2TeO6 | GGA+U | optimized geometry

a = 5.1841 Å, b = 5.2336 Å, c = 5.7258 Å
α = 116.76°, β = 90.02°, γ = 118.07°
Last column: nearest neighbours and their distance in Å.
Space group P1 (No. 1)
Unique sites:
Li  0.0000  0.0000  0.0000  3 O 1.99-2.06
Mn  0.2266  0.4573  0.6737  5 O 1.97-2.19
Mn  0.7451  0.4912  0.2290  5 O 2.12-2.35
Te  0.5451  0.0881  0.6255  6 O 1.91-2.00
O  0.1771  0.6340  0.4377  1 Te 1.97, 2 Mn 2.02-2.15
O  0.3332  0.2796  0.8719  1 Mn 1.97, 1 Te 1.99, 1 Li 2.06
O  0.4351  0.2584  0.4231  1 Te 1.97, 2 Mn 2.01-2.16
O  0.6213  0.9745  0.8861  1 Te 1.94, 1 Li 1.99
O  0.7886  0.9680  0.4009  1 Te 1.91, 1 Mn 2.12
O  0.9253  0.5346  0.8637  1 Mn 2.00, 1 Te 2.00, 1 Li 2.02

Output
The calculation puts the raw total energy at -6.479 eV per atom. Its total moment is 9.00 Bohr magnetons per cell. As for the energy above the lowest structure with this stoichiometry: 10 meV/atom.